Entry 1:
## NaOs2O8 (GGA-PBE)

Data for a geometry-optimized NaOs2O8 structure.

Properties
As for the volume: 12.15 Å³/atom. The calculated density comes out at 6.605 g cm⁻³. As for the formation energy without anion corrections: -466 kJ/mol of formula units. As for the excess energy over the best structure of this formula in the dataset: 7.493 eV per formula unit. The size of the total moment comes out at 1.36 μB/f.u.

Cell: 4.7240 4.7240 5.9875 Å, 90.00 90.00 90.00°
Space group P4/mmm (No. 123)
Unique sites:
Na (0.0000, 0.0000, 0.0000)
Os (0.0000, 0.5000, 0.5000)
O (0.2496, 0.2496, 0.3089)



Entry 2:
## Na3OsO4 (GGA-PBE)

Data for a geometry-optimized Na3OsO4 structure.

Properties
As for the volume: 13.76 Å³/atom. The calculated density comes out at 4.875 g cm⁻³. As for the formation energy without anion corrections: -873 kJ/mol of formula units. As for the excess energy over the best structure of this formula in the dataset: 1.961 eV per formula unit. The size of the total moment comes out at 1.02 μB/f.u.

Cell: 6.0383 6.0383 6.0383 Å, 90.00 90.00 90.00°
Space group I-43m (No. 217)
Unique sites:
Na (0.0000, 0.0000, 0.5000)
Os (0.0000, 0.0000, 0.0000)
O (0.1797, 0.1797, 0.1797)



Entry 3:
## NaOsO3 (GGA-PBE)

Data for a geometry-optimized NaOsO3 structure.

Properties
As for the volume: 13.17 Å³/atom. The calculated density comes out at 6.587 g cm⁻³. As for the formation energy without anion corrections: -538 kJ/mol of formula units. The size of the total moment comes out at 0.00 μB/f.u.

Cell: 10.4531 3.8982 6.5866 Å, 90.00 101.06 90.00°
Space group C2/m (No. 12)
Unique sites:
Na (0.1292, 0.0000, 0.3977)
Os (0.1310, 0.5000, 0.9094)
O (0.0612, 0.5000, 0.1664)
O (0.1540, 0.5000, 0.6374)
O (0.1753, 0.0000, 0.9448)



Entry 4:
## NaOsO4 (GGA-PBE)

Data for a geometry-optimized NaOsO4 structure.

Properties
As for the volume: 17.23 Å³/atom. The calculated density comes out at 4.452 g cm⁻³. As for the formation energy without anion corrections: -691 kJ/mol of formula units. As for the excess energy over the best structure of this formula in the dataset: 0.126 eV per formula unit. The size of the total moment comes out at 1.03 μB/f.u.

Cell: 6.8656 7.3434 9.1965 Å, 90.00 116.86 90.00°
Space group P2_1/c (No. 14)
Unique sites:
Na (0.2425, 0.1436, 0.4751)
Os (0.3145, 0.6542, 0.6475)
O (0.1340, 0.6590, 0.0714)
O (0.2260, 0.0238, 0.0045)
O (0.3319, 0.6044, 0.8417)
O (0.4116, 0.2007, 0.8069)